Entry from the Alexandria database: a relaxed RbCa2YCd crystal (GGA-PBE).

The structure in POSCAR format:
```
RbCa2YCd
1.0
6.445 0.000 0.000
0.000 6.947 0.000
0.000 0.000 6.445
Cd Y Ca Rb
1 1 2 1
direct
0.500 0.500 0.500
0.000 0.000 0.000
0.500 0.000 0.000
0.000 0.000 0.500
0.000 0.500 0.000
```

DOS at the Fermi energy   4.2 states/eV/cell
Electronic total energy   -1.5900 eV per atom

=====

Entry from the Alexandria database: a relaxed CaCdRe crystal (GGA-PBE).

The structure in POSCAR format:
```
CaCdRe
1.0
5.394 -0.026 0.015
2.653 4.697 -0.015
-3.359 -3.480 2.388
Re Cd Ca
1 1 1
direct
0.672 0.672 0.000
0.326 0.326 0.000
0.002 0.002 0.000
```

DOS at the Fermi energy   2.1 states/eV/cell
Polymorph energy (0 for the lowest one)   0.072 eV per atom
Electronic total energy   -4.4880 eV per atom

=====

Entry from the Alexandria database: a relaxed CaCdRe crystal (GGA-PBE).

The structure in POSCAR format:
```
CaCdRe
1.0
-4.539 -2.067 -0.854
3.631 -2.711 2.251
-0.865 0.883 2.460
Cd Ca Re
1 1 1
direct
0.333 0.667 0.473
0.000 0.000 0.002
0.667 0.333 0.525
```

DOS at the Fermi energy   2.8 states/eV/cell
Polymorph energy (0 for the lowest one)   0.057 eV per atom
Electronic total energy   -4.5030 eV per atom

=====

Entry from the Alexandria database: a relaxed CaCdRe crystal (GGA-PBE).

The structure in POSCAR format:
```
CaCdRe
1.0
7.585 0.012 0.000
6.494 3.919 0.000
-7.040 -1.966 2.028
Ca Re Cd
1 1 1
direct
0.007 0.007 0.000
0.670 0.670 0.000
0.324 0.324 0.000
```

DOS at the Fermi energy   2.4 states/eV/cell
Polymorph energy (0 for the lowest one)   0.000 eV per atom
Electronic total energy   -4.5598 eV per atom

=====

Question: What is the DOS at the Fermi energy in the second record?
Answer: 2.1 states/eV/cell